An optimized crystal structure of AcScCu. Source: OQMD, functional GGA-PBE.

Cell: 4.955 4.955 4.955 Å, 60.00 60.00 60.00°
Positions (direct):
1 Cu 0.250 0.250 0.250
2 Ac 0.000 0.000 0.000
3 Sc 0.750 0.750 0.750

## Properties
ρ   6.5 g/cm³
E above lowest polymorph   656 meV per atom
Calculated volume   28.68 Å³ per atom
Symmetry   No. 216
E_form   838 meV/atom